Computed, not measured: crystalline NiPbO2 at its relaxed geometry at the PBE+U level of DFT. Values from VASP.

```
&SYSTEM
  ibrav = 0, nat = 16, ntyp = 3
/
ATOMIC_SPECIES
Pb 207.20 Pb.upf
O 16.00 O.upf
Ni 58.69 Ni.upf
ATOMIC_POSITIONS crystal
Pb 0.250 0.366 0.633
Pb 0.750 0.634 0.367
O 0.250 0.714 0.537
Ni 0.250 0.133 0.396
O 0.250 0.506 0.826
Pb 0.250 0.866 0.867
Ni 0.750 0.867 0.604
O 0.750 0.286 0.463
O 0.250 0.214 0.963
Ni 0.250 0.633 0.104
Ni 0.750 0.367 0.896
Pb 0.750 0.134 0.133
O 0.250 0.006 0.674
O 0.750 0.994 0.326
O 0.750 0.494 0.174
O 0.750 0.786 0.037
CELL_PARAMETERS angstrom
2.962 0.000 0.000
0.000 6.483 0.000
0.000 0.000 12.186
```

## Properties
For the density, the calculation gives 8.5 g/cm³. Its space group is Pnma (62). The value obtained for the spin magnetization is 0.3 Bohr magnetons per cell. The energy is -4.753 eV per atom.

=====

Computed, not measured: crystalline NiPdPb2O6 at its relaxed geometry at the PBE+U level of DFT. Values from VASP.

```
&SYSTEM
  ibrav = 0, nat = 10, ntyp = 4
/
ATOMIC_SPECIES
O 16.00 O.upf
Pd 106.42 Pd.upf
Ni 58.69 Ni.upf
Pb 207.20 Pb.upf
ATOMIC_POSITIONS crystal
O 0.687 0.090 0.777
Pd 0.320 0.320 0.040
O 0.992 0.592 0.261
O 0.445 0.687 0.777
Ni 0.809 0.809 0.573
Pb 0.025 0.025 0.925
O 0.155 0.992 0.261
Pb 0.546 0.546 0.363
O 0.090 0.445 0.777
O 0.592 0.155 0.261
CELL_PARAMETERS angstrom
-1.239 5.364 -0.998
-5.043 1.382 -1.992
-3.741 2.702 3.482
```

## Properties
For the density, the calculation gives 8.6 g/cm³. Its space group is R3 (146). The value obtained for the spin magnetization is 2.0 Bohr magnetons per cell. The energy is -5.252 eV per atom.

=====

Computed, not measured: crystalline NiPdPbO4 at its relaxed geometry at the PBE+U level of DFT. Values from VASP.

```
&SYSTEM
  ibrav = 0, nat = 14, ntyp = 4
/
ATOMIC_SPECIES
Pb 207.20 Pb.upf
O 16.00 O.upf
Ni 58.69 Ni.upf
Pd 106.42 Pd.upf
ATOMIC_POSITIONS crystal
Pb 0.132 0.264 0.882
O 0.269 0.965 0.732
O 0.731 0.035 0.268
Ni 0.500 0.000 0.500
Pd 0.500 0.500 0.500
O 0.738 0.475 0.292
O 0.738 0.475 0.683
O 0.695 0.965 0.732
O 0.305 0.035 0.268
Pb 0.868 0.736 0.118
O 0.262 0.525 0.708
Ni 0.500 0.000 0.000
O 0.262 0.525 0.317
Pd 0.000 0.500 0.500
CELL_PARAMETERS angstrom
-4.746 3.823 -1.806
-1.097 -6.231 0.879
1.358 4.115 5.143
```

## Properties
For the density, the calculation gives 7.7 g/cm³. Its space group is Imma (74). The value obtained for the spin magnetization is 4.0 Bohr magnetons per cell. The energy is -5.273 eV per atom.

=====

Computed, not measured: crystalline Pm2NiPbO6 at its relaxed geometry at the PBE+U level of DFT. Values from VASP.

```
&SYSTEM
  ibrav = 0, nat = 20, ntyp = 4
/
ATOMIC_SPECIES
Pm 145.00 Pm.upf
O 16.00 O.upf
Ni 58.69 Ni.upf
Pb 207.20 Pb.upf
ATOMIC_POSITIONS crystal
Pm 0.524 0.566 0.752
O 0.373 0.948 0.756
O 0.800 0.808 0.933
O 0.686 0.300 0.935
Ni 0.000 0.500 0.500
Ni 0.500 0.000 0.000
Pm 0.476 0.434 0.248
O 0.200 0.192 0.067
O 0.873 0.552 0.256
O 0.127 0.448 0.744
Pm 0.976 0.066 0.748
O 0.627 0.052 0.244
O 0.300 0.692 0.433
O 0.700 0.308 0.567
O 0.186 0.200 0.435
O 0.814 0.800 0.565
Pm 0.024 0.934 0.252
Pb 0.500 0.000 0.500
Pb 0.000 0.500 0.000
O 0.314 0.700 0.065
CELL_PARAMETERS angstrom
5.590 0.000 0.052
0.000 5.903 0.000
0.102 0.000 8.137
```

## Properties
For the density, the calculation gives 8.1 g/cm³. Its space group is P2_1/c (14). The value obtained for the spin magnetization is 4.0 Bohr magnetons per cell. The energy is -6.728 eV per atom.

=====

Computed, not measured: crystalline NiPt2PbO8 at its relaxed geometry at the PBE+U level of DFT. Values from VASP.

```
&SYSTEM
  ibrav = 0, nat = 12, ntyp = 4
/
ATOMIC_SPECIES
Pb 207.20 Pb.upf
O 16.00 O.upf
Pt 195.08 Pt.upf
Ni 58.69 Ni.upf
ATOMIC_POSITIONS crystal
Pb 0.000 0.000 0.500
O 0.637 0.690 0.145
O 0.667 0.333 0.365
O 0.690 0.053 0.855
Pt 0.667 0.333 0.050
O 0.053 0.363 0.145
O 0.947 0.637 0.855
O 0.333 0.667 0.635
Pt 0.333 0.667 0.950
O 0.310 0.947 0.145
O 0.363 0.310 0.855
Ni 0.000 0.000 0.000
CELL_PARAMETERS angstrom
5.463 0.000 0.000
-2.731 4.731 0.000
0.000 0.000 6.145
```

## Properties
For the density, the calculation gives 8.2 g/cm³. Its space group is P-3 (147). The value obtained for the spin magnetization is 2.0 Bohr magnetons per cell. The energy is -5.047 eV per atom.

=====

Computed, not measured: crystalline PuNiPb2O8 at its relaxed geometry at the PBE+U level of DFT. Values from VASP.

```
&SYSTEM
  ibrav = 0, nat = 12, ntyp = 4
/
ATOMIC_SPECIES
O 16.00 O.upf
Pb 207.20 Pb.upf
Ni 58.69 Ni.upf
Pu 244.00 Pu.upf
ATOMIC_POSITIONS crystal
O 0.295 0.294 0.500
O 0.184 0.815 0.227
O 0.705 0.706 0.500
O 0.822 0.179 0.243
Pb 0.486 0.514 0.742
Ni 0.000 0.000 0.500
Pb 0.514 0.486 0.258
Pu 0.000 0.000 0.000
O 0.178 0.821 0.757
O 0.816 0.185 0.773
O 0.305 0.303 0.000
O 0.695 0.697 0.000
CELL_PARAMETERS angstrom
-3.156 3.794 1.223
-2.864 -3.311 2.575
3.497 0.989 5.419
```

## Properties
For the density, the calculation gives 8.3 g/cm³. Its space group is P-1 (2). The value obtained for the spin magnetization is 0.0 Bohr magnetons per cell. The energy is -6.721 eV per atom.

=====

Computed, not measured: crystalline PuNiPb2O6 at its relaxed geometry at the PBE+U level of DFT. Values from VASP.

```
&SYSTEM
  ibrav = 0, nat = 20, ntyp = 4
/
ATOMIC_SPECIES
Pb 207.20 Pb.upf
O 16.00 O.upf
Ni 58.69 Ni.upf
Pu 244.00 Pu.upf
ATOMIC_POSITIONS crystal
Pb 0.532 0.500 0.754
O 0.248 0.252 0.453
O 0.569 0.000 0.259
O 0.748 0.753 0.953
Ni 0.500 0.000 0.000
O 0.252 0.752 0.047
Ni 0.000 0.500 0.500
Pb 0.032 0.000 0.254
O 0.931 0.500 0.241
Pb 0.968 0.000 0.746
O 0.752 0.253 0.547
O 0.748 0.248 0.953
O 0.248 0.747 0.453
O 0.252 0.247 0.047
Pu 0.000 0.500 0.000
O 0.069 0.500 0.759
O 0.752 0.748 0.547
Pb 0.468 0.500 0.246
Pu 0.500 0.000 0.500
O 0.431 0.000 0.741
CELL_PARAMETERS angstrom
-2.464 4.242 3.379
-4.730 -3.345 0.750
3.305 -3.174 6.682
```

## Properties
For the density, the calculation gives 9.6 g/cm³. Its space group is C2/m (12). The value obtained for the spin magnetization is 8.0 Bohr magnetons per cell. The energy is -7.074 eV per atom.

=====

Computed, not measured: crystalline PuNi2PbO6 at its relaxed geometry at the PBE+U level of DFT. Values from VASP.

```
&SYSTEM
  ibrav = 0, nat = 10, ntyp = 4
/
ATOMIC_SPECIES
O 16.00 O.upf
Ni 58.69 Ni.upf
Pu 244.00 Pu.upf
Pb 207.20 Pb.upf
ATOMIC_POSITIONS crystal
O 0.755 0.766 0.766
Ni 0.794 0.000 0.500
O 0.755 0.234 0.234
O 0.176 0.500 0.500
O 0.249 0.000 0.000
Pu 0.746 0.000 0.000
Ni 0.794 0.500 0.000
Pb 0.669 0.500 0.500
O 0.755 0.766 0.234
O 0.755 0.234 0.766
CELL_PARAMETERS angstrom
4.188 0.000 0.000
0.000 6.203 0.000
0.000 0.000 6.203
```

## Properties
For the density, the calculation gives 6.8 g/cm³. Its space group is P4mm (99). The value obtained for the spin magnetization is 4.8 Bohr magnetons per cell. The energy is -6.446 eV per atom.

=====

Computed, not measured: crystalline Re2NiPbO8 at its relaxed geometry at the PBE+U level of DFT. Values from VASP.

```
&SYSTEM
  ibrav = 0, nat = 12, ntyp = 4
/
ATOMIC_SPECIES
O 16.00 O.upf
Ni 58.69 Ni.upf
Re 186.21 Re.upf
Pb 207.20 Pb.upf
ATOMIC_POSITIONS crystal
O 0.243 0.243 0.969
O 0.308 0.308 0.555
O 0.757 0.757 0.031
O 0.782 0.252 0.210
O 0.692 0.692 0.445
Ni 0.000 0.000 0.000
Re 0.380 0.380 0.779
O 0.252 0.782 0.210
Pb 0.000 0.000 0.500
O 0.748 0.218 0.790
Re 0.620 0.620 0.221
O 0.218 0.748 0.790
CELL_PARAMETERS angstrom
5.110 -0.449 -0.017
1.958 4.741 -0.017
0.300 0.182 7.427
```

## Properties
For the density, the calculation gives 6.8 g/cm³. Its space group is C2/m (12). The value obtained for the spin magnetization is 0.0 Bohr magnetons per cell. The energy is -7.235 eV per atom.

=====

Computed, not measured: crystalline ReNiPb2O at its relaxed geometry at the PBE+U level of DFT. Values from VASP.

```
&SYSTEM
  ibrav = 0, nat = 5, ntyp = 4
/
ATOMIC_SPECIES
Pb 207.20 Pb.upf
Re 186.21 Re.upf
O 16.00 O.upf
Ni 58.69 Ni.upf
ATOMIC_POSITIONS crystal
Pb 0.000 0.000 0.500
Re 0.500 0.500 0.500
Pb 0.500 0.000 0.000
O 0.000 0.500 0.000
Ni 0.000 0.000 0.000
CELL_PARAMETERS angstrom
5.402 0.000 0.000
0.000 3.345 0.000
0.000 0.000 5.402
```

## Properties
For the density, the calculation gives 11.5 g/cm³. Its space group is P4/mmm (123). The value obtained for the spin magnetization is 1.3 Bohr magnetons per cell. The energy is -4.722 eV per atom.

=====

Computed, not measured: crystalline Ni2RhPbO6 at its relaxed geometry at the PBE+U level of DFT. Values from VASP.

```
&SYSTEM
  ibrav = 0, nat = 10, ntyp = 4
/
ATOMIC_SPECIES
Ni 58.69 Ni.upf
O 16.00 O.upf
Pb 207.20 Pb.upf
Rh 102.91 Rh.upf
ATOMIC_POSITIONS crystal
Ni 0.522 0.522 0.433
O 0.716 0.143 0.759
O 0.235 0.926 0.239
O 0.601 0.235 0.239
O 0.143 0.382 0.758
Ni 0.012 0.012 0.963
O 0.925 0.601 0.239
O 0.382 0.716 0.759
Pb 0.805 0.805 0.586
Rh 0.320 0.320 0.041
CELL_PARAMETERS angstrom
-2.892 4.294 1.144
-3.619 1.757 -3.453
-5.434 -0.721 1.258
```

## Properties
For the density, the calculation gives 7.6 g/cm³. Its space group is R3 (146). The value obtained for the spin magnetization is 3.0 Bohr magnetons per cell. The energy is -5.458 eV per atom.

=====

Computed, not measured: crystalline NiRhPb2O6 at its relaxed geometry at the PBE+U level of DFT. Values from VASP.

```
&SYSTEM
  ibrav = 0, nat = 10, ntyp = 4
/
ATOMIC_SPECIES
Pb 207.20 Pb.upf
O 16.00 O.upf
Ni 58.69 Ni.upf
Rh 102.91 Rh.upf
ATOMIC_POSITIONS crystal
Pb 0.043 0.500 0.000
O 0.698 0.756 0.244
Ni 0.611 0.500 0.500
Rh 0.608 0.000 0.000
O 0.698 0.244 0.244
O 0.163 0.500 0.500
O 0.698 0.244 0.756
Pb 0.043 0.000 0.500
O 0.698 0.756 0.756
O 0.189 0.000 0.000
CELL_PARAMETERS angstrom
-1.968 2.876 -2.709
-4.488 -0.029 3.229
2.086 4.194 2.937
```

## Properties
For the density, the calculation gives 8.3 g/cm³. Its space group is P4mm (99). The value obtained for the spin magnetization is 0.0 Bohr magnetons per cell. The energy is -5.450 eV per atom.